[1]
Below is a geometry-optimized La3TbPm12 structure, with properties calculated at the PBE level.

Output
**Formation energy**: 0.016 eV/atom
**E**: -4.76 eV per atom
**Crystal system**: tetragonal

Cell lengths 5.1822, 5.1822, 20.7176 Å; angles 90.00, 90.00, 90.00 degrees
Space group P4/mmm (No. 123)
Inequivalent atoms, fractional coordinates:
La 0.0000 0.0000 0.0000 x1
La 0.0000 0.0000 0.2508 x2
Tb 0.0000 0.0000 0.5000 x1
Pm 0.0000 0.5000 0.1254 x4
Pm 0.0000 0.5000 0.3772 x4
Pm 0.5000 0.5000 0.0000 x1
Pm 0.5000 0.5000 0.2519 x2
Pm 0.5000 0.5000 0.5000 x1

---

[2]
Below is a geometry-optimized La16Tb7Pm6 structure, with properties calculated at the PBE level.

Output
**Formation energy**: 0.187 eV/atom
**E**: -4.63 eV per atom
**Crystal system**: cubic

Cell lengths 16.1232, 16.1232, 16.1232 Å; angles 90.00, 90.00, 90.00 degrees
Space group Fm-3m (No. 225)
Inequivalent atoms, fractional coordinates:
La 0.1212 0.1212 0.1212 x32
La 0.1547 0.1547 0.3453 x32
Tb 0.0000 0.0000 0.0000 x4
Tb 0.0000 0.2500 0.2500 x24
Pm 0.0000 0.0000 0.2947 x24

---

[3]
Below is a geometry-optimized La5TbPm structure, with properties calculated at the PBE level.

Output
**Formation energy**: 0.132 eV/atom
**Energy above the most stable polymorph in this dataset**: 9 meV per atom
**E**: -4.73 eV per atom
**Crystal system**: monoclinic

Cell lengths 12.1996, 7.0200, 12.7484 Å; angles 90.00, 112.40, 90.00 degrees
Space group C2/c (No. 15)
Inequivalent atoms, fractional coordinates:
La 0.0000 0.0806 0.2500 x4
La 0.0776 0.2355 0.0015 x8
La 0.2194 0.1316 0.7512 x8
Tb 0.0000 0.4724 0.7500 x4
Pm 0.2500 0.2500 0.5000 x4

---

[4]
Below is a geometry-optimized LaTb9Pm2 structure, with properties calculated at the PBE level.

Output
**Formation energy**: 0.021 eV/atom
**E**: -4.65 eV per atom
**Crystal system**: tetragonal

Cell lengths 5.0800, 5.0800, 15.2442 Å; angles 90.00, 90.00, 90.00 degrees
Space group P4/mmm (No. 123)
Inequivalent atoms, fractional coordinates:
La 0.0000 0.0000 0.0000 x1
Tb 0.0000 0.5000 0.1686 x4
Tb 0.0000 0.5000 0.5000 x2
Tb 0.5000 0.5000 0.0000 x1
Tb 0.5000 0.5000 0.3346 x2
Pm 0.0000 0.0000 0.3335 x2

---

[5]
Below is a geometry-optimized LaTb5Pm3 structure, with properties calculated at the PBE level.

Output
**Formation energy**: 0.242 eV/atom
**Energy above the most stable polymorph in this dataset**: 0 meV per atom
**E**: -4.46 eV per atom
**Crystal system**: tetragonal

Cell lengths 8.7536, 8.7536, 15.7279 Å; angles 90.00, 90.00, 90.00 degrees
Space group I4/mcm (No. 140)
Inequivalent atoms, fractional coordinates:
La 0.0000 0.5000 0.2500 x4
Tb 0.0000 0.0000 0.0000 x4
Tb 0.2055 0.2945 0.1364 x16
Pm 0.0000 0.0000 0.2500 x4
Pm 0.1186 0.3814 0.5000 x8

---

[6]
Below is a geometry-optimized LaTbPm3 structure, with properties calculated at the PBE level.

Output
**Formation energy**: 0.032 eV/atom
**Energy above the most stable polymorph in this dataset**: 0 meV per atom
**E**: -4.73 eV per atom
**Crystal system**: monoclinic

Cell lengths 22.5205, 3.6921, 8.7070 Å; angles 90.00, 105.79, 90.00 degrees
Space group C2/m (No. 12)
Inequivalent atoms, fractional coordinates:
La 0.0850 0.0000 0.0879 x4
Tb 0.2186 0.5000 0.3219 x4
Pm 0.0168 0.5000 0.7135 x4
Pm 0.1181 0.0000 0.5188 x4
Pm 0.1847 0.5000 0.8837 x4

---

Question: Which formula does entry 5 have?
Answer: LaTb5Pm3